(1)
# HoPIrO

A relaxed HoPIrO crystal (PBE-GGA, OQMD via LeMat-Bulk).

Mass density (g/cm3): 9.73
Electronic total energy (eV/cell): -53.962
Space group: No. 129
Energy above the most stable polymorph in this dataset (meV per atom): 1182.7

abc: 5.578 5.578 4.435
angles: 90.00 90.00 90.00
Positions (direct):
1 Ho 0.250 0.750 0.000
2 Ho 0.750 0.250 0.000
3 P 0.250 0.250 0.015
4 P 0.750 0.750 0.985
5 Ir 0.250 0.250 0.515
6 Ir 0.750 0.750 0.485
7 O 0.250 0.750 0.500
8 O 0.750 0.250 0.500

(2)
# KAcHf

A relaxed KAcHf crystal (PBE-GGA, OQMD via LeMat-Bulk).

Mass density (g/cm3): 6.13
Electronic total energy (eV/cell): -40.740
Space group: No. 216

abc: 7.841 7.841 7.841
angles: 90.00 90.00 90.00
Positions (direct):
1 K 0.000 0.000 0.000
2 K 0.000 0.500 0.500
3 K 0.500 0.000 0.500
4 K 0.500 0.500 0.000
5 Ac 0.250 0.250 0.750
6 Ac 0.250 0.750 0.250
7 Ac 0.750 0.250 0.250
8 Ac 0.750 0.750 0.750
9 Hf 0.250 0.250 0.250
10 Hf 0.250 0.750 0.750
11 Hf 0.750 0.250 0.750
12 Hf 0.750 0.750 0.250

(3)
# Ta8W5

A relaxed Ta8W5 crystal (PBE-GGA, OQMD via LeMat-Bulk).

Mass density (g/cm3): 16.81
Electronic total energy (eV/cell): -156.078
Calculated formation energy (kJ/mol of atoms): 26.3
Space group: No. 166
Energy above the most stable polymorph in this dataset (meV per atom): 46.5

abc: 9.841 9.841 9.841
angles: 31.70 31.70 31.70
Positions (direct):
1 Ta 0.092 0.092 0.587
2 Ta 0.092 0.587 0.092
3 Ta 0.167 0.167 0.167
4 Ta 0.413 0.908 0.908
5 Ta 0.587 0.092 0.092
6 Ta 0.833 0.833 0.833
7 Ta 0.908 0.413 0.908
8 Ta 0.908 0.908 0.413
9 W 0.000 0.000 0.000
10 W 0.352 0.352 0.352
11 W 0.454 0.454 0.454
12 W 0.546 0.546 0.546
13 W 0.648 0.648 0.648